A plane-wave DFT calculation with PBE was carried out for a relaxed Mn2SI crystal.

POSCAR file:
```
Mn2SI
1.0
-3.020 0.204 3.106
-4.076 -1.208 -0.856
-1.587 -3.649 1.724
S Mn I
1 2 1
Direct
0.000 0.000 0.000 S
0.250 0.250 0.250 Mn
0.750 0.750 0.750 Mn
0.500 0.500 0.500 I
```

## Properties
**Offset from the most stable computed form**: 455 meV per atom
**Total moment**: 0.000 μB/cell
**E**: -5.216 eV per atom
**Theoretical density**: 7.7 g cm⁻³